A geometry-optimized AlTl3Cr2S6 structure, computed with PBE-GGA.

Volume: 20.98 Å³ per atom
Uncorrected formation energy: -0.64 eV/atom
Density of states at the Fermi level: 0.380 states/eV per cell
ρ: 6.2 g/cm3
Symmetry: C2/m
Uncorrected energy: -5.21 eV/atom

a b c (Å): 6.2692 6.2692 7.6856
angles (deg): 97.79 97.79 120.03
Site moments in Bohr magnetons follow the coordinates.
Fractional coordinates of all 12 atoms:
S  0.2759  0.2759  0.8289  -0.06
S  0.3901  0.0572  0.1720  -0.06
S  0.6099  0.9428  0.8280  -0.06
S  0.0572  0.3901  0.1720  -0.06
S  0.9428  0.6099  0.8280  -0.06
S  0.7241  0.7241  0.1711  -0.06
Cr  0.3334  0.6666  0.0000  2.90
Cr  0.6666  0.3334  0.0000  2.90
Tl  0.8341  0.1659  0.5000  0.00
Tl  0.1659  0.8341  0.5000  0.00
Tl  0.5000  0.5000  0.5000  0.00
Al  0.0000  0.0000  0.0000  0.04